Record 1
The following is a DFT calculation (PBE-GGA) of a relaxed KReS2 crystal.

ρ in Mg/m³: 6.093
DOS(E_F) in states/eV per atom: 0.88
M_tot in μB/f.u.: 0.0
E_form (uncorrected) in eV per atom: 0.337

a = 9.5154 Å, b = 9.5154 Å, c = 9.5154 Å
α = 18.89°, β = 18.89°, γ = 18.89°
Element x y z (fractional)
Re1 0.0000 0.0000 0.0000
K1 0.5000 0.5000 0.5000
S1 0.9205 0.9205 0.9205
S2 0.0795 0.0795 0.0795

Record 2
The following is a DFT calculation (PBE-GGA) of a relaxed K2ReS crystal.

ρ in Mg/m³: 3.015
DOS(E_F) in states/eV per atom: 0.85
M_tot in μB/f.u.: 1.4
E_form (uncorrected) in eV per atom: 0.364

a = 12.1175 Å, b = 12.1175 Å, c = 8.8523 Å
α = 46.81°, β = 46.81°, γ = 90.00°
Last column: magnetic moment on the atom in μB.
Element x y z (fractional)
Re1 0.0000 0.0000 0.0000  1.13
Re2 0.7500 0.2500 0.5000  1.13
K1 0.4325 0.1250 0.2500  0.00
K2 0.3175 0.6250 0.2500  0.00
K3 0.3750 0.5675 0.7500  0.00
K4 0.8750 0.6825 0.7500  0.00
S1 0.5000 0.5000 0.0000  -0.01
S2 0.2500 0.7500 0.5000  -0.01

Record 3
The following is a DFT calculation (PBE-GGA) of a relaxed KReS2 crystal.

ρ in Mg/m³: 4.707
DOS(E_F) in states/eV per atom: 0.68
M_tot in μB/f.u.: 0.0
E_form (uncorrected) in eV per atom: -0.424

a = 7.0883 Å, b = 7.0883 Å, c = 6.4533 Å
α = 56.69°, β = 56.69°, γ = 90.00°
Element x y z (fractional)
Re1 0.0000 0.0000 0.0000
Re2 0.7500 0.2500 0.5000
K1 0.5000 0.5000 0.0000
K2 0.2500 0.7500 0.5000
S1 0.7380 0.1250 0.2500
S2 0.0120 0.6250 0.2500
S3 0.3750 0.2620 0.7500
S4 0.8750 0.9880 0.7500